This record from the Alexandria database describes a geometry-optimized LiZrMn structure. The functional is GGA-PBE.

## Properties
Theoretical density, g/cm³: 4.80
Energy of formation from the pure elements, meV/atom: 740
Offset from the most stable computed form, eV/atom: 0.482
Density of states at the Fermi level, states/eV/cell: 7.8

Cell: 5.961 5.961 5.961 Å, 90.00 90.00 90.00°
Space group F-43m (No. 216)
Asymmetric unit:
Li: 0.000 0.000 0.000 [4 per cell]
Zr: 0.250 0.250 0.750 [4 per cell]
Mn: 0.250 0.250 0.250 [4 per cell]

This record from the Alexandria database describes a geometry-optimized Li4Tm3AlSe8 structure. The functional is GGA-PBE.

## Properties
Theoretical density, g/cm³: 5.66
Raw formation energy, meV per atom: -1493

Cell: 7.9062 7.9062 19.4081 Å, 90.00 90.00 120.00°
Space group R-3m (No. 166, hexagonal axes)
Asymmetric unit:
Li: 0.0000 0.0000 0.0000 [3 per cell]
Li: 0.0000 0.5000 0.0000 [9 per cell]
Tm: 0.0000 0.5000 0.5000 [9 per cell]
Al: 0.0000 0.0000 0.5000 [3 per cell]
Se: 0.0000 0.0000 0.2507 [6 per cell]
Se: 0.0195 0.5098 0.2474 [18 per cell]

This record from the Alexandria database describes a geometry-optimized CaErPa structure. The functional is GGA-PBE.

## Properties
Theoretical density, g/cm³: 7.87
Energy of formation from the pure elements, meV/atom: 162
Density of states at the Fermi level, states/eV/cell: 10.6

Cell: 3.397 3.526 17.698 Å, 86.38 84.64 61.24°
Space group P1 (No. 1)
Asymmetric unit:
Ca: 0.000 0.000 0.000 [1 per cell]
Ca: 0.389 0.394 0.812 [1 per cell]
Er: 0.141 0.058 0.633 [1 per cell]
Er: 0.602 0.580 0.179 [1 per cell]
Pa: 0.200 0.233 0.335 [1 per cell]
Pa: 0.905 0.681 0.477 [1 per cell]

This record from the Alexandria database describes a geometry-optimized AgMo2Ru structure. The functional is GGA-PBE.

## Properties
Theoretical density, g/cm³: 10.52
Energy of formation from the pure elements, meV/atom: 281
Offset from the most stable computed form, eV/atom: 0.002
Density of states at the Fermi level, states/eV/cell: 3.7

Cell: 2.766 2.766 8.274 Å, 90.00 90.00 90.00°
Space group P4/mmm (No. 123)
Asymmetric unit:
Ag: 0.000 0.000 0.000 [1 per cell]
Mo: 0.500 0.500 0.273 [2 per cell]
Ru: 0.000 0.000 0.500 [1 per cell]

This record from the Alexandria database describes a geometry-optimized Th7Os2Pb2 structure. The functional is GGA-PBE.

## Properties
Theoretical density, g/cm³: 12.25
Energy of formation from the pure elements, meV/atom: -250
Offset from the most stable computed form, eV/atom: 0.000
Density of states at the Fermi level, states/eV/cell: 27.1

Cell: 3.815 16.665 10.321 Å, 90.00 90.00 90.00°
Space group Imm2 (No. 44)
Asymmetric unit:
Th: 0.000 0.000 0.000 [2 per cell]
Th: 0.000 0.139 0.558 [4 per cell]
Th: 0.000 0.321 0.358 [4 per cell]
Th: 0.000 0.342 0.725 [4 per cell]
Os: 0.000 0.229 0.049 [4 per cell]
Pb: 0.000 0.000 0.325 [2 per cell]
Pb: 0.000 0.500 0.221 [2 per cell]

This record from the Alexandria database describes a geometry-optimized Sc2HgPt structure. The functional is GGA-PBE.

## Properties
Theoretical density, g/cm³: 10.79
Energy of formation from the pure elements, meV/atom: -621

Cell: 6.687 6.687 6.687 Å, 90.00 90.00 90.00°
Space group F-43m (No. 216)
Asymmetric unit:
Sc: 0.000 0.000 0.000 [4 per cell]
Sc: 0.250 0.250 0.250 [4 per cell]
Hg: 0.250 0.250 0.750 [4 per cell]
Pt: 0.000 0.000 0.500 [4 per cell]

This record from the Alexandria database describes a geometry-optimized TaO2F5 structure. The functional is GGA-PBE.

## Properties
Theoretical density, g/cm³: 3.67
Raw formation energy, meV per atom: -2354
Density of states at the Fermi level, states/eV/cell: 0.0

Cell: 8.887 8.428 4.218 Å, 90.00 118.16 90.00°
Space group Cm (No. 8)
Asymmetric unit:
Ta: 0.000 0.000 0.000 [2 per cell]
O: 0.005 0.500 0.210 [2 per cell]
O: 0.497 0.000 0.911 [2 per cell]
F: 0.000 0.000 0.544 [2 per cell]
F: 0.168 0.156 0.242 [4 per cell]
F: 0.332 0.344 0.908 [4 per cell]

This record from the Alexandria database describes a geometry-optimized Cr5C3 structure. The functional is GGA-PBE.

## Properties
Theoretical density, g/cm³: 6.47
Energy of formation from the pure elements, meV/atom: 362
Offset from the most stable computed form, eV/atom: 0.295
Density of states at the Fermi level, states/eV/cell: 11.9

Cell: 6.184 8.704 2.823 Å, 90.00 90.00 90.00°
Space group Cmmm (No. 65)
Asymmetric unit:
Cr: 0.000 0.000 0.000 [2 per cell]
Cr: 0.203 0.500 0.500 [4 per cell]
Cr: 0.250 0.250 0.000 [4 per cell]
C: 0.000 0.173 0.500 [4 per cell]
C: 0.000 0.500 0.000 [2 per cell]

> Which formula does entry 6 have?

Sc2HgPt